# 1
The following is a DFT calculation (PBE) of a relaxed Tb2PmZn crystal.

Total DFT energy (no corrections), eV per atom: -3.8734
Energy above the most stable polymorph in this dataset, meV/atom: 109
DOS at the Fermi energy, states/eV per atom: 1.1301
ΔE_f, eV/atom: -0.052

a = 3.6252 Å, b = 3.6252 Å, c = 10.5490 Å
α = 80.11°, β = 80.11°, γ = 60.00°
Sites, in units of the cell vectors:
Tb: 0.0708 0.0708 0.7877
Tb: 0.2625 0.2625 0.2125
Zn: 0.6663 0.6663 0.0010
Pm: 0.5004 0.5004 0.4988

---

# 2
The following is a DFT calculation (PBE) of a relaxed NaTb3Pr4S8 crystal.

Total DFT energy (no corrections), eV per atom: -6.1691
DOS at the Fermi energy, states/eV per atom: 0.5381
E_form (uncorrected), meV per atom: -1960

a = 8.0211 Å, b = 8.0874 Å, c = 8.0220 Å
α = 119.73°, β = 120.00°, γ = 90.00°
Sites, in units of the cell vectors:
Pr: 0.0000 0.0000 0.5000
Pr: 0.5000 0.0000 0.5000
Pr: 0.0000 0.0000 0.0000
Pr: 0.5000 0.0000 0.0000
S: 0.7445 0.7336 0.4891
S: 0.2555 0.2664 0.5109
S: 0.2460 0.7350 0.4921
S: 0.7540 0.2650 0.5079
S: 0.7542 0.2652 0.0111
S: 0.2458 0.7348 0.9889
S: 0.2569 0.2652 0.0111
S: 0.7431 0.7348 0.9889
Tb: 0.5000 0.5000 0.5000
Tb: 0.0000 0.5000 0.5000
Tb: 0.5000 0.5000 0.0000
Na: 0.0000 0.5000 0.0000

---

# 3
The following is a DFT calculation (PBE) of a relaxed Pm2ThPb crystal.

Total DFT energy (no corrections), eV per atom: -5.2204
Energy above the most stable polymorph in this dataset, meV/atom: 200
DOS at the Fermi energy, states/eV per atom: 1.2262
ΔE_f, eV/atom: -0.063

a = 5.5845 Å, b = 5.5845 Å, c = 5.5845 Å
α = 60.00°, β = 60.00°, γ = 60.00°
Sites, in units of the cell vectors:
Th: 0.0000 0.0000 0.0000
Pm: 0.7500 0.7500 0.7500
Pm: 0.2500 0.2500 0.2500
Pb: 0.5000 0.5000 0.5000

---

# 4
The following is a DFT calculation (PBE) of a relaxed TcHg2N2 crystal.

Total DFT energy (no corrections), eV per atom: -4.7989
Energy above the most stable polymorph in this dataset, meV/atom: 144
DOS at the Fermi energy, states/eV per atom: 0.5358
E_form (uncorrected), meV per atom: 725

a = 5.5188 Å, b = 5.5188 Å, c = 5.4849 Å
α = 90.00°, β = 90.00°, γ = 90.00°
Sites, in units of the cell vectors:
N: 0.7474 0.7526 0.0000
N: 0.2474 0.7474 0.0000
N: 0.2526 0.2474 0.0000
N: 0.7526 0.2526 0.0000
Hg: 0.6838 0.8162 0.5000
Hg: 0.1838 0.6838 0.5000
Hg: 0.8162 0.3162 0.5000
Hg: 0.3162 0.1838 0.5000
Tc: 0.5000 0.5000 0.0000
Tc: 0.0000 0.0000 0.0000

---

# 5
The following is a DFT calculation (PBE) of a relaxed PrThZn2 crystal.

Total DFT energy (no corrections), eV per atom: -3.9226
Energy above the most stable polymorph in this dataset, meV/atom: 0
DOS at the Fermi energy, states/eV per atom: 1.0326
ΔE_f, eV/atom: -0.236

a = 3.6840 Å, b = 5.2046 Å, c = 10.4474 Å
α = 90.00°, β = 90.00°, γ = 90.00°
Sites, in units of the cell vectors:
Th: 0.5000 0.7500 0.6204
Th: 0.5000 0.2500 0.3796
Zn: 0.0000 0.2500 0.6291
Zn: 0.0000 0.7500 0.8681
Zn: 0.0000 0.2500 0.1319
Zn: 0.0000 0.7500 0.3709
Pr: 0.5000 0.7500 0.1236
Pr: 0.5000 0.2500 0.8764

---

# 6
The following is a DFT calculation (PBE) of a relaxed LiPm5Pb4 crystal.

Total DFT energy (no corrections), eV per atom: -4.2953
DOS at the Fermi energy, states/eV per atom: 0.9026
ΔE_f, eV/atom: -0.245

a = 4.5460 Å, b = 7.8777 Å, c = 9.1888 Å
α = 83.73°, β = 104.32°, γ = 90.00°
Sites, in units of the cell vectors:
Pm: 0.1293 0.8019 0.2586
Pm: 0.2136 0.3469 0.4272
Pm: 0.7864 0.6531 0.5728
Pm: 0.5000 0.5000 0.0000
Pm: 0.8707 0.1981 0.7414
Pb: 0.6804 0.0679 0.3607
Pb: 0.0471 0.2153 0.0941
Pb: 0.9529 0.7847 0.9059
Pb: 0.3196 0.9321 0.6393
Li: 0.5000 0.0000 0.0000

---

The lowest total DFT energy (no corrections) belongs to which entry?
NaTb3Pr4S8

---

Which value of total DFT energy (no corrections) does entry 2 give?
-6.1691 eV per atom